No. 1
Ta2InW: relaxed, PBE.

Calculated values
Space group: Cm, No. 8
D(E_F): 3.649 states/eV/cell
Calculated formation energy: 0.312 eV/atom
Total energy: -38.1 eV for the cell shown

abc: 5.1245 5.1245 5.2823
angles: 82.94 82.94 32.41
Fractional coordinates of all 4 atoms:
Ta 0.7507 0.7507 0.7463
W 0.5011 0.5011 0.5071
In 0.2485 0.2485 0.2501
Ta 0.9998 0.9998 0.9965

=====

No. 2
K3Au: relaxed, PBE.

Calculated values
Space group: P-6m2, No. 187
D(E_F): 2.157 states/eV/cell
Calculated formation energy: -0.123 eV/atom
Total energy: -7.1 eV for the cell shown

abc: 4.6094 4.6094 11.8897
angles: 90.00 90.00 120.00
Fractional coordinates of all 4 atoms:
K 0.6667 0.3333 0.1724
Au 0.0000 0.0000 0.0000
K 0.0000 0.0000 0.5000
K 0.6667 0.3333 0.8276

=====

No. 3
YTcCl: relaxed, PBE.

Calculated values
Formation energy without anion corrections: -3.20 eV/f.u.
Space group: R-3m, No. 166
D(E_F): 5.033 states/eV/cell
Energy above the most stable polymorph in this dataset: 0.000 eV/atom
Total energy: -43.8 eV for the cell shown

abc: 4.0442 4.0442 11.4485
angles: 79.83 79.83 60.00
Fractional coordinates of all 6 atoms:
Y 0.5657 0.5657 0.3029
Cl 0.7188 0.7188 0.8435
Tc 0.8390 0.8390 0.4829
Y 0.4343 0.4343 0.6971
Tc 0.1610 0.1610 0.5171
Cl 0.2812 0.2812 0.1565